No. 1
First-principles (PBEsol) data for a relaxed Nd3Si2Ni6 crystal, as listed in Alexandria via LeMat-Bulk.

Geometry as CIF:
```
data_Nd3Si2Ni6
_space_group_name_H-M_alt 'P 1'
_space_group_IT_number 1
_cell_length_a 7.624
_cell_length_b 7.624
_cell_length_c 7.624
_cell_angle_alpha 109.47
_cell_angle_beta 109.47
_cell_angle_gamma 109.47
loop_
_space_group_symop_operation_xyz
'x,y,z'
loop_
_atom_site_label
_atom_site_fract_x
_atom_site_fract_y
_atom_site_fract_z
Nd1 0.285 0.285 0.000
Nd2 0.715 0.000 0.715
Nd3 0.000 0.285 0.285
Nd4 0.715 0.715 0.000
Nd5 0.285 0.000 0.285
Nd6 0.000 0.715 0.715
Si1 0.000 0.500 0.000
Si2 0.000 0.000 0.500
Si3 0.500 0.500 0.500
Si4 0.500 0.000 0.000
Ni1 0.669 0.331 0.000
Ni2 0.331 0.663 0.331
Ni3 0.000 0.331 0.669
Ni4 0.331 0.331 0.663
Ni5 0.669 0.000 0.331
Ni6 0.000 0.669 0.331
Ni7 0.669 0.669 0.337
Ni8 0.669 0.337 0.669
Ni9 0.337 0.669 0.669
Ni10 0.331 0.669 0.000
Ni11 0.331 0.000 0.669
Ni12 0.663 0.331 0.331
```

## Properties
Space group   Im-3m
Size of the total moment   0.000 μB/f.u.
E_form (uncorrected)   -0.573 eV/atom

No. 2
First-principles (PBEsol) data for a relaxed NdSiNi crystal, as listed in Alexandria via LeMat-Bulk.

Geometry as CIF:
```
data_NdSiNi
_space_group_name_H-M_alt 'P 1'
_space_group_IT_number 1
_cell_length_a 4.069
_cell_length_b 4.069
_cell_length_c 7.408
_cell_angle_alpha 105.94
_cell_angle_beta 105.94
_cell_angle_gamma 90.00
loop_
_space_group_symop_operation_xyz
'x,y,z'
loop_
_atom_site_label
_atom_site_fract_x
_atom_site_fract_y
_atom_site_fract_z
Ni1 0.912 0.412 0.825
Ni2 0.662 0.662 0.325
Si1 0.832 0.832 0.664
Si2 0.082 0.582 0.164
Nd1 0.252 0.252 0.503
Nd2 0.502 0.002 0.003
```

## Properties
Space group   I4_1md
Size of the total moment   0.000 μB/f.u.
E_form (uncorrected)   -0.757 eV/atom

No. 3
First-principles (PBEsol) data for a relaxed Nd2Si5Ni3 crystal, as listed in Alexandria via LeMat-Bulk.

Geometry as CIF:
```
data_Nd2Si5Ni3
_space_group_name_H-M_alt 'P 1'
_space_group_IT_number 1
_cell_length_a 5.699
_cell_length_b 7.915
_cell_length_c 7.915
_cell_angle_alpha 74.33
_cell_angle_beta 68.90
_cell_angle_gamma 68.90
loop_
_space_group_symop_operation_xyz
'x,y,z'
loop_
_atom_site_label
_atom_site_fract_x
_atom_site_fract_y
_atom_site_fract_z
Nd1 0.869 0.369 0.892
Nd2 0.131 0.631 0.108
Nd3 0.369 0.892 0.369
Nd4 0.631 0.108 0.631
Si1 0.013 0.737 0.737
Si2 0.987 0.263 0.263
Si3 0.487 0.263 0.263
Si4 0.513 0.737 0.737
Si5 0.608 0.540 0.244
Si6 0.392 0.460 0.756
Si7 0.108 0.244 0.540
Si8 0.892 0.756 0.460
Si9 0.750 0.000 0.000
Si10 0.250 0.000 0.000
Ni1 0.633 0.756 0.979
Ni2 0.367 0.244 0.021
Ni3 0.133 0.979 0.756
Ni4 0.867 0.021 0.244
Ni5 0.750 0.500 0.500
Ni6 0.250 0.500 0.500
```

## Properties
Space group   Ibam
Size of the total moment   0.000 μB/f.u.
E_form (uncorrected)   -0.858 eV/atom

No. 4
First-principles (PBEsol) data for a relaxed Nd6Si3Ni2 crystal, as listed in Alexandria via LeMat-Bulk.

Geometry as CIF:
```
data_Nd6Si3Ni2
_space_group_name_H-M_alt 'P 1'
_space_group_IT_number 1
_cell_length_a 4.441
_cell_length_b 11.473
_cell_length_c 11.556
_cell_angle_alpha 118.79
_cell_angle_beta 90.00
_cell_angle_gamma 90.00
loop_
_space_group_symop_operation_xyz
'x,y,z'
loop_
_atom_site_label
_atom_site_fract_x
_atom_site_fract_y
_atom_site_fract_z
Nd1 0.000 0.762 0.783
Nd2 0.000 0.224 0.989
Nd3 0.000 0.011 0.239
Nd4 0.500 0.246 0.227
Nd5 0.500 0.768 0.020
Nd6 0.500 0.982 0.765
Nd7 0.000 0.138 0.625
Nd8 0.000 0.381 0.511
Nd9 0.000 0.484 0.861
Nd10 0.500 0.870 0.388
Nd11 0.500 0.615 0.477
Nd12 0.500 0.523 0.134
Si1 0.500 0.334 0.665
Si2 0.000 0.666 0.325
Si3 0.000 0.840 0.562
Si4 0.500 0.562 0.713
Si5 0.500 0.280 0.842
Si6 0.500 0.157 0.441
Ni1 0.252 0.002 0.008
Ni2 0.748 0.002 0.008
Ni3 0.000 0.438 0.267
Ni4 0.000 0.713 0.148
```

## Properties
Space group   Pm
Size of the total moment   0.000 μB/f.u.
E_form (uncorrected)   -0.500 eV/atom